Entry 1:
{"formula": "Li3Pm5H12", "functional": "PBE-GGA", "state": "relaxed", "cell": [[-6.447, 6.447, 6.447], [6.447, -6.447, 6.447], [6.447, 6.447, -6.447]], "species": ["Li", "Li", "Li", "Li", "Li", "Li", "Li", "Li", "Li", "Li", "Li", "Li", "Pm", "Pm", "Pm", "Pm", "Pm", "Pm", "Pm", "Pm", "Pm", "Pm", "Pm", "Pm", "Pm", "Pm", "Pm", "Pm", "Pm", "Pm", "Pm", "Pm", "H", "H", "H", "H", "H", "H", "H", "H", "H", "H", "H", "H", "H", "H", "H", "H", "H", "H", "H", "H", "H", "H", "H", "H", "H", "H", "H", "H", "H", "H", "H", "H", "H", "H", "H", "H", "H", "H", "H", "H", "H", "H", "H", "H", "H", "H", "H", "H"], "frac_coords": [[0.125, 0.250, 0.375], [0.125, 0.375, 0.750], [0.250, 0.375, 0.125], [0.250, 0.875, 0.625], [0.375, 0.125, 0.250], [0.375, 0.750, 0.125], [0.625, 0.250, 0.875], [0.625, 0.875, 0.750], [0.750, 0.125, 0.375], [0.750, 0.625, 0.875], [0.875, 0.625, 0.250], [0.875, 0.750, 0.625], [0.000, 0.000, 0.000], [0.000, 0.000, 0.500], [0.000, 0.500, 0.000], [0.000, 0.500, 0.500], [0.125, 0.750, 0.875], [0.125, 0.875, 0.250], [0.250, 0.125, 0.875], [0.250, 0.625, 0.375], [0.375, 0.250, 0.625], [0.375, 0.625, 0.750], [0.500, 0.000, 0.000], [0.500, 0.000, 0.500], [0.500, 0.500, 0.000], [0.500, 0.500, 0.500], [0.625, 0.375, 0.250], [0.625, 0.750, 0.375], [0.750, 0.375, 0.625], [0.750, 0.875, 0.125], [0.875, 0.125, 0.750], [0.875, 0.250, 0.125], [0.053, 0.649, 0.231], [0.053, 0.904, 0.822], [0.081, 0.178, 0.731], [0.081, 0.404, 0.351], [0.096, 0.178, 0.947], [0.096, 0.419, 0.149], [0.149, 0.096, 0.419], [0.149, 0.553, 0.731], [0.178, 0.731, 0.081], [0.178, 0.947, 0.096], [0.231, 0.053, 0.649], [0.231, 0.678, 0.581], [0.269, 0.851, 0.447], [0.269, 0.919, 0.822], [0.322, 0.404, 0.553], [0.322, 0.419, 0.769], [0.351, 0.081, 0.404], [0.351, 0.769, 0.947], [0.404, 0.351, 0.081], [0.404, 0.553, 0.322], [0.419, 0.149, 0.096], [0.419, 0.769, 0.322], [0.447, 0.269, 0.851], [0.447, 0.678, 0.596], [0.553, 0.322, 0.404], [0.553, 0.731, 0.149], [0.581, 0.231, 0.678], [0.581, 0.851, 0.904], [0.596, 0.447, 0.678], [0.596, 0.649, 0.919], [0.649, 0.231, 0.053], [0.649, 0.919, 0.596], [0.678, 0.581, 0.231], [0.678, 0.596, 0.447], [0.731, 0.081, 0.178], [0.731, 0.149, 0.553], [0.769, 0.322, 0.419], [0.769, 0.947, 0.351], [0.822, 0.053, 0.904], [0.822, 0.269, 0.919], [0.851, 0.447, 0.269], [0.851, 0.904, 0.581], [0.904, 0.581, 0.851], [0.904, 0.822, 0.053], [0.919, 0.596, 0.649], [0.919, 0.822, 0.269], [0.947, 0.096, 0.178], [0.947, 0.351, 0.769]], "space_group": "Ia-3d", "dos_ef_per_ev_atom": 0.199, "final_energy_ev_per_atom": -3.90}



Entry 2:
{"formula": "In2AgHgH", "functional": "PBE-GGA", "state": "relaxed", "cell": [[5.668, 0.000, 0.000], [0.000, 5.668, 0.000], [0.000, 0.000, 3.489]], "species": ["In", "In", "Ag", "Hg", "H"], "frac_coords": [[0.000, 0.500, 0.000], [0.500, 0.000, 0.000], [0.000, 0.000, 0.000], [0.500, 0.500, 0.500], [0.000, 0.000, 0.500]], "space_group": "P4/mmm", "dos_ef_per_ev_atom": 0.467, "final_energy_ev_per_atom": -2.20}



Entry 3:
{"formula": "KSrLi2", "functional": "PBE-GGA", "state": "relaxed", "cell": [[4.641, 0.000, 0.000], [0.000, 5.273, 0.000], [-2.309, 0.000, 6.872]], "species": ["K", "Sr", "Li", "Li"], "frac_coords": [[0.000, 0.000, 0.000], [0.296, 0.500, 0.595], [0.593, 0.500, 0.185], [0.713, 0.000, 0.428]], "space_group": "Pm", "delta_e_f_ev_per_fu": 0.5, "dos_ef_per_ev_atom": 0.683, "final_energy_ev_per_atom": -1.53}



Entry 4:
{"formula": "TlRe2Rh", "functional": "PBE-GGA", "state": "relaxed", "cell": [[2.853, 0.000, 0.000], [0.000, 3.919, 0.000], [0.000, 0.000, 5.966]], "species": ["Tl", "Re", "Re", "Rh"], "frac_coords": [[0.000, 0.000, 0.000], [0.000, 0.000, 0.493], [0.500, 0.500, 0.306], [0.500, 0.500, 0.749]], "space_group": "Pmm2", "delta_e_f_ev_per_fu": 1.8, "dos_ef_per_ev_atom": 0.754, "final_energy_ev_per_atom": -8.21}



Entry 5:
{"formula": "ZnCd2Ag", "functional": "PBE-GGA", "state": "relaxed", "cell": [[7.868, 0.000, 0.000], [0.000, 7.868, 0.000], [0.000, 0.000, 5.560]], "species": ["Zn", "Zn", "Zn", "Zn", "Cd", "Cd", "Cd", "Cd", "Cd", "Cd", "Cd", "Cd", "Ag", "Ag", "Ag", "Ag"], "frac_coords": [[0.000, 0.000, 0.000], [0.000, 0.500, 0.250], [0.500, 0.000, 0.750], [0.500, 0.500, 0.500], [0.237, 0.250, 0.125], [0.250, 0.737, 0.375], [0.250, 0.763, 0.875], [0.263, 0.250, 0.625], [0.737, 0.750, 0.625], [0.750, 0.237, 0.875], [0.750, 0.263, 0.375], [0.763, 0.750, 0.125], [0.000, 0.000, 0.500], [0.000, 0.500, 0.750], [0.500, 0.000, 0.250], [0.500, 0.500, 0.000]], "space_group": "I-42d", "delta_e_f_ev_per_fu": 0.7, "dos_ef_per_ev_atom": 0.336, "final_energy_ev_per_atom": -1.32}



Entry 6:
{"formula": "Fe2TcP", "functional": "PBE-GGA", "state": "relaxed", "cell": [[2.950, 0.000, 0.000], [0.000, 3.945, 0.000], [0.000, 0.000, 4.112]], "species": ["Fe", "Fe", "Tc", "P"], "frac_coords": [[0.000, 0.000, 0.000], [0.500, 0.500, 0.000], [0.000, 0.500, 0.500], [0.500, 0.000, 0.500]], "space_group": "Pmmm", "delta_e_f_ev_per_fu": -0.4, "dos_ef_per_ev_atom": 0.809, "final_energy_ev_per_atom": -8.28}



Entry 7:
{"formula": "FeBi3Pd12", "functional": "PBE-GGA", "state": "relaxed", "cell": [[4.084, 0.000, 0.000], [0.000, 4.084, 0.000], [0.000, 0.000, 16.265]], "species": ["Fe", "Bi", "Bi", "Bi", "Pd", "Pd", "Pd", "Pd", "Pd", "Pd", "Pd", "Pd", "Pd", "Pd", "Pd", "Pd"], "frac_coords": [[0.000, 0.000, 0.000], [0.000, 0.000, 0.238], [0.000, 0.000, 0.500], [0.000, 0.000, 0.762], [0.000, 0.500, 0.112], [0.000, 0.500, 0.372], [0.000, 0.500, 0.628], [0.000, 0.500, 0.888], [0.500, 0.000, 0.112], [0.500, 0.000, 0.372], [0.500, 0.000, 0.628], [0.500, 0.000, 0.888], [0.500, 0.500, 0.000], [0.500, 0.500, 0.246], [0.500, 0.500, 0.500], [0.500, 0.500, 0.754]], "space_group": "P4/mmm", "delta_e_f_ev_per_fu": -3.2, "dos_ef_per_ev_atom": 0.511, "final_energy_ev_per_atom": -5.35}



Entry 8:
{"formula": "CdAsS2", "functional": "PBE-GGA", "state": "relaxed", "cell": [[5.403, 0.000, 0.000], [0.000, 5.403, 0.000], [0.000, 0.000, 13.849]], "species": ["Cd", "Cd", "Cd", "Cd", "As", "As", "As", "As", "S", "S", "S", "S", "S", "S", "S", "S"], "frac_coords": [[0.000, 0.000, 0.000], [0.000, 0.500, 0.250], [0.500, 0.000, 0.750], [0.500, 0.500, 0.500], [0.000, 0.000, 0.500], [0.000, 0.500, 0.750], [0.500, 0.000, 0.250], [0.500, 0.500, 0.000], [0.231, 0.250, 0.625], [0.250, 0.731, 0.875], [0.250, 0.769, 0.375], [0.269, 0.250, 0.125], [0.731, 0.750, 0.125], [0.750, 0.231, 0.375], [0.750, 0.269, 0.875], [0.769, 0.750, 0.625]], "space_group": "I-42d", "raw_formation_energy_mev_per_atom": -40, "dos_ef_per_ev_atom": 0.260, "final_energy_ev_per_atom": -3.50}



Question: What is the formula in the first record?
Answer: Li3Pm5H12